Compound: In2Co
Source: the Alexandria database
Functional: PBE
Structure: optimized geometry

Geometry as extended XYZ:
```
6
Lattice="-1.564 -4.638 -2.977 -5.537 -1.413 -0.401 -2.753 0.593 -4.989" Properties=species:S:1:pos:R:3 pbc="T T T"
In -1.232 -0.682 -1.046
In -4.000 -1.389 -1.247
In -2.014 -3.001 -2.535
In -2.608 -0.386 -3.540
Co -4.927 -2.729 -4.184
Co -7.391 -4.094 -6.276
```

Results
Formation enthalpy at 0 K ... 0.953 eV/atom
DFT total energy ... -3.241 eV per atom
SG ... No. 227